<w>
! ZnSiAs2 (PBEsol, relaxed); values from VASP
&SYSTEM
  ibrav = 0, nat = 4, ntyp = 3
/
ATOMIC_SPECIES
Si 28.09 Si.upf
As 74.92 As.upf
Zn 65.41 Zn.upf
ATOMIC_POSITIONS angstrom
Si 0.000 0.000 0.000
As 6.827 3.941 2.787
Zn 4.551 2.628 1.858
As 2.276 1.314 0.929
CELL_PARAMETERS angstrom
4.551 0.000 0.000
2.276 3.941 0.000
2.276 1.314 3.716
! DOS(E_F)	1.956	states/eV/cell
! space group	No. 225

***

<x>
! ZnSiAs2 (PBEsol, relaxed); values from VASP
&SYSTEM
  ibrav = 0, nat = 8, ntyp = 3
/
ATOMIC_SPECIES
Si 28.09 Si.upf
Zn 65.41 Zn.upf
As 74.92 As.upf
ATOMIC_POSITIONS angstrom
Si 1.689 -0.759 3.443
Zn 3.443 -1.850 0.069
As 3.765 -0.978 2.322
As 2.331 -4.012 0.238
Si 0.249 -3.717 1.331
Zn 0.000 0.000 0.000
As 3.558 2.639 0.949
As 0.608 -2.868 3.514
CELL_PARAMETERS angstrom
-1.505 -2.627 4.705
2.003 -4.807 -2.043
4.633 4.825 0.850
! space group	No. 122

***

The most stable arrangement is <x>, and the next structure is 49.4 kJ/mol of atoms less stable.

***

<w>
! Sr3As2 (PBEsol, relaxed); values from VASP
&SYSTEM
  ibrav = 0, nat = 10, ntyp = 2
/
ATOMIC_SPECIES
As 74.92 As.upf
Sr 87.62 Sr.upf
ATOMIC_POSITIONS angstrom
As -7.087 0.620 -3.122
Sr -6.610 -2.636 0.872
As -2.163 0.643 3.923
Sr -1.319 3.098 2.298
Sr -3.464 -0.840 1.608
Sr -4.970 2.130 3.471
Sr -1.622 4.776 -1.945
As 0.762 4.028 4.556
As -6.375 0.481 1.337
Sr -4.901 1.717 -1.045
CELL_PARAMETERS angstrom
-2.509 3.893 -6.218
-6.936 -3.155 1.435
3.335 4.252 5.845
! space group	No. 43

***

<x>
! Sr3As2 (PBEsol, relaxed); values from VASP
&SYSTEM
  ibrav = 0, nat = 5, ntyp = 2
/
ATOMIC_SPECIES
Sr 87.62 Sr.upf
As 74.92 As.upf
ATOMIC_POSITIONS angstrom
Sr 2.604 1.503 4.618
Sr 0.000 3.007 2.118
As 2.604 1.503 1.444
Sr 0.000 0.000 0.000
As 0.000 3.007 5.292
CELL_PARAMETERS angstrom
5.208 0.000 0.000
-2.604 4.510 0.000
0.000 0.000 6.735
! space group	No. 164

***

The most stable arrangement is <x>, and the next structure is 7.9 kJ/mol of atoms less stable.

***

<w>
! Sr3As (PBEsol, relaxed); values from VASP
&SYSTEM
  ibrav = 0, nat = 4, ntyp = 2
/
ATOMIC_SPECIES
Sr 87.62 Sr.upf
As 74.92 As.upf
ATOMIC_POSITIONS angstrom
Sr -2.606 -1.144 1.034
Sr -5.919 -1.929 4.121
As 0.000 0.000 0.000
Sr -9.231 -2.715 7.208
CELL_PARAMETERS angstrom
-4.201 -0.290 -1.395
-2.062 -3.927 -0.026
-5.574 0.359 9.662
! DOS(E_F)	3.353	states/eV/cell
! space group	No. 166

***

<x>
! Sr3As (PBEsol, relaxed); values from VASP
&SYSTEM
  ibrav = 0, nat = 8, ntyp = 2
/
ATOMIC_SPECIES
Sr 87.62 Sr.upf
As 74.92 As.upf
ATOMIC_POSITIONS angstrom
Sr 0.000 0.000 2.828
Sr 0.000 2.470 0.000
Sr 2.470 2.470 9.001
As 0.000 0.000 9.581
As 2.470 2.470 2.248
Sr 2.470 0.000 0.000
Sr 0.000 2.470 5.914
Sr 2.470 0.000 5.914
CELL_PARAMETERS angstrom
4.941 0.000 0.000
0.000 4.941 0.000
-2.470 -2.470 11.829
! DOS(E_F)	4.404	states/eV/cell
! space group	No. 139

***

The most stable arrangement is <w>, and the next structure is 20.4 kJ/mol of atoms less stable.

***

<w>
! Sr2TeAs (PBEsol, relaxed); values from VASP
&SYSTEM
  ibrav = 0, nat = 4, ntyp = 3
/
ATOMIC_SPECIES
As 74.92 As.upf
Te 127.60 Te.upf
Sr 87.62 Sr.upf
ATOMIC_POSITIONS angstrom
As 0.000 0.000 0.000
Te -0.400 -3.261 5.894
Sr -0.200 -1.631 2.947
Sr -0.600 -4.892 8.841
CELL_PARAMETERS angstrom
-2.213 0.081 5.045
-1.466 -4.717 2.441
2.880 -1.887 4.302
! DOS(E_F)	4.644	states/eV/cell
! space group	No. 225

***

<x>
! Sr2TeAs (PBEsol, relaxed); values from VASP
&SYSTEM
  ibrav = 0, nat = 4, ntyp = 3
/
ATOMIC_SPECIES
Sr 87.62 Sr.upf
Te 127.60 Te.upf
As 74.92 As.upf
ATOMIC_POSITIONS angstrom
Sr 3.602 0.000 2.212
Sr -0.085 0.000 5.962
Te 1.818 1.985 0.026
As 1.758 1.985 4.087
CELL_PARAMETERS angstrom
3.635 0.000 0.052
0.000 3.970 0.000
-0.118 0.000 8.122
! DOS(E_F)	1.659	states/eV/cell
! space group	No. 47

***

<y>
! Sr2TeAs (PBEsol, relaxed); values from VASP
&SYSTEM
  ibrav = 0, nat = 4, ntyp = 3
/
ATOMIC_SPECIES
As 74.92 As.upf
Sr 87.62 Sr.upf
Te 127.60 Te.upf
ATOMIC_POSITIONS angstrom
As -0.030 0.000 3.231
Sr 0.000 0.000 0.000
Te 2.272 2.281 0.022
Sr 2.242 2.281 3.252
CELL_PARAMETERS angstrom
4.544 0.000 0.043
0.000 4.562 0.000
-0.061 0.000 6.461
! DOS(E_F)	4.373	states/eV/cell
! space group	No. 47

***

The most stable arrangement is <y>, and the next structure is 4.1 kJ/mol of atoms less stable.

***

<w>
! SrTl2As (PBEsol, relaxed); values from VASP
&SYSTEM
  ibrav = 0, nat = 4, ntyp = 3
/
ATOMIC_SPECIES
Tl 204.38 Tl.upf
As 74.92 As.upf
Sr 87.62 Sr.upf
ATOMIC_POSITIONS angstrom
Tl 0.000 0.000 0.000
Tl -0.769 0.080 9.827
As -0.513 0.053 6.551
Sr -0.256 0.027 3.276
CELL_PARAMETERS angstrom
-1.911 2.702 4.223
-1.861 -2.663 4.271
2.746 0.067 4.609
! DOS(E_F)	2.801	states/eV/cell
! space group	No. 216

***

<x>
! SrTl2As (PBEsol, relaxed); values from VASP
&SYSTEM
  ibrav = 0, nat = 4, ntyp = 3
/
ATOMIC_SPECIES
Tl 204.38 Tl.upf
Sr 87.62 Sr.upf
As 74.92 As.upf
ATOMIC_POSITIONS angstrom
Tl -2.203 -3.796 0.686
Sr -2.473 -1.357 -1.836
As -0.074 -1.819 0.167
Tl -0.572 -4.993 -1.842
CELL_PARAMETERS angstrom
-4.089 0.226 0.657
-0.754 -0.387 -4.563
0.134 -5.781 2.828
! DOS(E_F)	1.338	states/eV/cell
! space group	No. 38

***

The most stable arrangement is <x>, and the next structure is 16.0 kJ/mol of atoms less stable.

***

<w>
! Sr2TlAs (PBEsol, relaxed); values from VASP
&SYSTEM
  ibrav = 0, nat = 4, ntyp = 3
/
ATOMIC_SPECIES
Tl 204.38 Tl.upf
Sr 87.62 Sr.upf
As 74.92 As.upf
ATOMIC_POSITIONS angstrom
Tl 2.502 1.207 2.192
Sr 0.000 3.215 1.086
As 0.000 0.000 0.000
Sr 2.502 4.422 3.277
CELL_PARAMETERS angstrom
5.004 0.000 0.000
-2.502 5.223 -0.020
0.000 2.414 4.383
! DOS(E_F)	1.088	states/eV/cell
! space group	No. 139

***

<x>
! Sr2TlAs (PBEsol, relaxed); values from VASP
&SYSTEM
  ibrav = 0, nat = 4, ntyp = 3
/
ATOMIC_SPECIES
Sr 87.62 Sr.upf
Tl 204.38 Tl.upf
As 74.92 As.upf
ATOMIC_POSITIONS angstrom
Sr 2.751 1.588 1.123
Sr 8.254 4.765 3.370
Tl 5.503 3.177 2.246
As 0.000 0.000 0.000
CELL_PARAMETERS angstrom
5.503 0.000 0.000
2.751 4.765 0.000
2.751 1.588 4.493
! DOS(E_F)	3.113	states/eV/cell
! space group	No. 225

***

The most stable arrangement is <w>, and the next structure is 2.6 kJ/mol of atoms less stable.

***

<w>
! SrYAs2 (PBEsol, relaxed); values from VASP
&SYSTEM
  ibrav = 0, nat = 4, ntyp = 3
/
ATOMIC_SPECIES
Y 88.91 Y.upf
As 74.92 As.upf
Sr 87.62 Sr.upf
ATOMIC_POSITIONS angstrom
Y 0.241 -2.479 0.206
As -1.515 0.327 5.720
As -0.450 0.097 1.701
Sr -0.742 -2.266 3.916
CELL_PARAMETERS angstrom
-2.174 -2.438 -0.436
2.656 -2.519 0.847
-1.965 0.425 7.421
! DOS(E_F)	1.648	states/eV/cell
! space group	No. 47

***

<x>
! SrYAs2 (PBEsol, relaxed); values from VASP
&SYSTEM
  ibrav = 0, nat = 8, ntyp = 3
/
ATOMIC_SPECIES
As 74.92 As.upf
Sr 87.62 Sr.upf
Y 88.91 Y.upf
ATOMIC_POSITIONS angstrom
As -1.714 -0.317 5.226
As 4.498 -3.974 1.251
Sr -3.430 -0.387 2.701
As 0.565 -4.662 3.942
Y -0.972 -4.468 1.681
Y 0.000 0.000 0.000
As -3.459 -3.336 1.906
Sr 0.917 -1.676 4.482
CELL_PARAMETERS angstrom
-1.541 2.405 5.501
-5.320 -3.179 -0.100
6.806 -5.370 0.761
! DOS(E_F)	10.273	states/eV/cell
! space group	No. 122

***

The most stable arrangement is <w>, and the next structure is 37.8 kJ/mol of atoms less stable.

***

<w>
! Ta5As (PBEsol, relaxed); values from VASP
&SYSTEM
  ibrav = 0, nat = 6, ntyp = 2
/
ATOMIC_SPECIES
Ta 180.95 Ta.upf
As 74.92 As.upf
ATOMIC_POSITIONS angstrom
Ta -2.423 -2.922 2.927
Ta -0.507 -1.805 1.134
As -1.196 -0.768 -1.756
Ta -2.233 -4.464 0.566
Ta -1.387 0.771 0.607
Ta -3.090 -1.806 -0.012
CELL_PARAMETERS angstrom
-2.774 1.542 1.215
-2.391 -1.535 -3.512
-0.348 -4.734 5.213
! DOS(E_F)	4.292	states/eV/cell
! space group	No. 65

***

<x>
! Ta5As (PBEsol, relaxed); values from VASP
&SYSTEM
  ibrav = 0, nat = 6, ntyp = 2
/
ATOMIC_SPECIES
Ta 180.95 Ta.upf
As 74.92 As.upf
ATOMIC_POSITIONS angstrom
Ta -4.071 -1.887 1.568
Ta -0.918 -5.248 1.086
As -3.334 -5.261 2.757
Ta -1.670 -2.992 2.656
Ta 0.882 -3.102 0.952
Ta -1.518 -1.997 -0.136
CELL_PARAMETERS angstrom
-1.744 -1.273 -2.531
3.096 -4.234 2.182
-4.830 -0.026 3.342
! DOS(E_F)	4.073	states/eV/cell
! space group	No. 12

***

The most stable arrangement is <w>, and the next structure is 2.4 kJ/mol of atoms less stable.

***

<w>
! TaTcAs2 (PBEsol, relaxed); values from VASP
&SYSTEM
  ibrav = 0, nat = 4, ntyp = 3
/
ATOMIC_SPECIES
Tc 98.00 Tc.upf
Ta 180.95 Ta.upf
As 74.92 As.upf
ATOMIC_POSITIONS angstrom
Tc 0.000 1.987 2.510
Ta 1.604 1.987 0.000
As 1.604 0.000 2.510
As 0.000 0.000 0.000
CELL_PARAMETERS angstrom
3.207 0.000 0.000
0.000 3.974 0.000
0.000 0.000 5.021
! DOS(E_F)	3.487	states/eV/cell
! space group	No. 47

***

<x>
! TaTcAs2 (PBEsol, relaxed); values from VASP
&SYSTEM
  ibrav = 0, nat = 4, ntyp = 3
/
ATOMIC_SPECIES
Tc 98.00 Tc.upf
Ta 180.95 Ta.upf
As 74.92 As.upf
ATOMIC_POSITIONS angstrom
Tc -1.163 0.056 -2.484
Ta -2.326 0.113 -4.968
As 0.000 0.000 0.000
As -3.490 0.169 -7.451
CELL_PARAMETERS angstrom
-0.794 2.530 -3.611
-0.010 -1.856 -4.077
-3.849 -0.449 -2.247
! DOS(E_F)	4.127	states/eV/cell
! space group	No. 216

***

The most stable arrangement is <w>, and the next structure is 4.5 kJ/mol of atoms less stable.

***

<w>
! TaAsW (PBEsol, relaxed); values from VASP
&SYSTEM
  ibrav = 0, nat = 3, ntyp = 3
/
ATOMIC_SPECIES
Ta 180.95 Ta.upf
W 183.84 W.upf
As 74.92 As.upf
ATOMIC_POSITIONS angstrom
Ta -3.837 -2.391 0.941
W -1.863 -1.549 -0.994
As -0.039 -0.054 0.020
CELL_PARAMETERS angstrom
-2.101 1.888 0.996
-0.085 -0.978 -2.830
-3.552 -4.903 1.801
! DOS(E_F)	1.985	states/eV/cell
! space group	No. 156

***

<x>
! TaAsW (PBEsol, relaxed); values from VASP
&SYSTEM
  ibrav = 0, nat = 3, ntyp = 3
/
ATOMIC_SPECIES
W 183.84 W.upf
As 74.92 As.upf
Ta 180.95 Ta.upf
ATOMIC_POSITIONS angstrom
W 2.155 1.244 0.880
As 0.000 0.000 0.000
Ta 4.310 2.489 1.760
CELL_PARAMETERS angstrom
4.310 0.000 0.000
2.155 3.733 0.000
2.155 1.244 3.519
! DOS(E_F)	3.097	states/eV/cell
! space group	No. 216

***

The most stable arrangement is <w>, and the next structure is 37.4 kJ/mol of atoms less stable.

***

<w>
! Tc3As (PBEsol, relaxed); values from VASP
&SYSTEM
  ibrav = 0, nat = 4, ntyp = 2
/
ATOMIC_SPECIES
Tc 98.00 Tc.upf
As 74.92 As.upf
ATOMIC_POSITIONS angstrom
Tc 1.439 2.074 0.000
Tc 1.439 0.761 2.532
As 0.000 0.069 0.000
Tc 0.000 2.960 2.005
CELL_PARAMETERS angstrom
2.877 0.000 0.000
0.000 4.398 0.000
-1.439 -2.199 4.538
! DOS(E_F)	3.439	states/eV/cell
! space group	No. 44

***

<x>
! Tc3As (PBEsol, relaxed); values from VASP
&SYSTEM
  ibrav = 0, nat = 4, ntyp = 2
/
ATOMIC_SPECIES
Tc 98.00 Tc.upf
As 74.92 As.upf
ATOMIC_POSITIONS angstrom
Tc 1.465 1.465 1.531
As 0.000 0.000 0.000
Tc 1.465 1.465 4.940
Tc 0.000 0.000 3.235
CELL_PARAMETERS angstrom
2.931 0.000 0.000
0.000 2.931 0.000
0.000 0.000 6.471
! DOS(E_F)	2.451	states/eV/cell
! space group	No. 123

***

The most stable arrangement is <x>, and the next structure is 11.8 kJ/mol of atoms less stable.

***

<w>
! Tc2As (PBEsol, relaxed); values from VASP
&SYSTEM
  ibrav = 0, nat = 3, ntyp = 2
/
ATOMIC_SPECIES
As 74.92 As.upf
Tc 98.00 Tc.upf
ATOMIC_POSITIONS angstrom
As 0.000 0.000 0.000
Tc 1.500 2.096 1.210
Tc 1.500 0.000 2.420
CELL_PARAMETERS angstrom
3.000 0.000 0.000
0.000 4.191 0.000
0.000 -2.096 3.630
! DOS(E_F)	2.692	states/eV/cell
! space group	No. 191

***

<x>
! Tc2As (PBEsol, relaxed); values from VASP
&SYSTEM
  ibrav = 0, nat = 3, ntyp = 2
/
ATOMIC_SPECIES
Tc 98.00 Tc.upf
As 74.92 As.upf
ATOMIC_POSITIONS angstrom
Tc 1.470 1.470 3.273
As 1.470 1.470 0.000
Tc 0.000 0.000 1.548
CELL_PARAMETERS angstrom
2.939 0.000 0.000
0.000 2.939 0.000
-1.470 -1.470 4.822
! DOS(E_F)	1.903	states/eV/cell
! space group	No. 139

***

The most stable arrangement is <x>, and the next structure is 57.2 kJ/mol of atoms less stable.